<one>
VASP calculation (PBE) on GaCo2H after structural relaxation.

## Properties
- SG: Fd-3m (227)

Unit cell a=4.9929 b=4.9929 c=4.9929 alpha=60.00 beta=60.00 gamma=60.00
Element x y z (fractional)
Ga1 0.1250 0.1250 0.1250
Ga2 0.8750 0.8750 0.8750
Co1 0.0000 0.5000 0.5000
Co2 0.5000 0.0000 0.5000
Co3 0.5000 0.5000 0.0000
Co4 0.5000 0.5000 0.5000
H1 0.3750 0.3750 0.3750
H2 0.6250 0.6250 0.6250

<two>
VASP calculation (PBE) on GaCo2H after structural relaxation.

## Properties
- SG: P4/mmm (123)

Unit cell a=2.5591 b=2.5591 c=5.9064 alpha=90.00 beta=90.00 gamma=90.00
Element x y z (fractional)
Ga1 0.0000 0.0000 0.0000
Co1 0.5000 0.5000 0.3087
Co2 0.5000 0.5000 0.6913
H1 0.0000 0.0000 0.5000

Energy ordering: <one> at the bottom, the next structure 0.6 kJ/mol of atoms above.

<one>
VASP calculation (PBE) on GaCo2H after structural relaxation.

## Properties
- SG: R-3m (166)

Unit cell a=6.2090 b=6.2090 c=6.2090 alpha=25.00 beta=25.00 gamma=25.00
Element x y z (fractional)
Ga1 0.0000 0.0000 0.0000
Co1 0.2231 0.2231 0.2231
Co2 0.7769 0.7769 0.7769
H1 0.5000 0.5000 0.5000

<two>
VASP calculation (PBE) on GaCo2H after structural relaxation.

## Properties
- SG: R3m (160)

Unit cell a=6.1670 b=6.1670 c=6.1670 alpha=25.29 beta=25.29 gamma=25.29
Element x y z (fractional)
Ga1 0.0000 0.0000 0.0000
Co1 0.5572 0.5572 0.5572
Co2 0.7769 0.7769 0.7769
H1 0.1685 0.1685 0.1685

Energy ordering: <two> at the bottom, the next structure 0.5 kJ/mol of atoms above.

<one>
VASP calculation (PBE) on GaCo2H after structural relaxation.

## Properties
- SG: Fm-3m (225)

Unit cell a=3.8607 b=3.8607 c=3.8607 alpha=60.00 beta=60.00 gamma=60.00
Element x y z (fractional)
Ga1 0.0000 0.0000 0.0000
Co1 0.2500 0.2500 0.2500
Co2 0.7500 0.7500 0.7500
H1 0.5000 0.5000 0.5000

<two>
VASP calculation (PBE) on GaCo2H after structural relaxation.

## Properties
- SG: I-42d (122)

Unit cell a=4.6642 b=4.6642 c=4.6642 alpha=107.51 beta=107.51 gamma=113.46
Element x y z (fractional)
Ga1 0.0000 0.0000 0.0000
Ga2 0.7500 0.2500 0.5000
Co1 0.2303 0.6250 0.1053
Co2 0.3750 0.4803 0.6053
Co3 0.5197 0.1250 0.8947
Co4 0.8750 0.7697 0.3947
H1 0.2500 0.7500 0.5000
H2 0.5000 0.5000 0.0000

Energy ordering: <two> at the bottom, the next structure 40.1 kJ/mol of atoms above.